# Cs2SrSb2

A relaxed Cs2SrSb2 crystal (PBE, Alexandria).

POSCAR file:
```
Cs2SrSb2
1.0
-3.559 -6.701 4.007
4.700 -5.355 -4.781
4.588 0.156 4.335
Cs Sb Sr
4 4 2
Cartesian
4.829 -4.559 -0.349
3.872 -8.846 0.818
0.900 -7.341 3.910
1.857 -3.054 2.743
2.782 -7.239 -2.684
-0.204 -9.215 0.547
-1.640 -4.817 1.909
1.345 -2.841 -1.322
0.000 0.000 0.000
0.571 -6.028 -0.387
```

Calculated values
D(E_F) = 1.1 states/eV/cell
raw formation energy = -0.494 eV per atom
magnetic moment = 0.0 μB per formula unit
volume = 465 Å³/cell
energy above the lowest structure with this stoichiometry = 0 meV per atom